No. 1
# PBEsol SbTePt, optimized geometry
# - E_tot: -13.64 eV/cell
# - N(E_F): 1.820 states/eV per cell
# - Magnetization: 0.000 μB per formula unit
# - Raw formation energy: 0.468 eV/atom
data_SbTePt
_space_group_name_H-M_alt 'P 1'
_space_group_IT_number 1
_space_group_name_Hall 'P 1'
_cell_length_a 4.757
_cell_length_b 4.757
_cell_length_c 4.757
_cell_angle_alpha 60.00
_cell_angle_beta 60.00
_cell_angle_gamma 60.00
loop_
_atom_site_label
_atom_site_fract_x
_atom_site_fract_y
_atom_site_fract_z
Sb1 0.000 0.000 0.000
Te1 0.250 0.250 0.250
Pt1 0.500 0.500 0.500



No. 2
# PBEsol TlSb2TePt, optimized geometry
# - E_tot: -20.99 eV/cell
# - N(E_F): 4.071 states/eV per cell
# - Magnetization: 0.000 μB per formula unit
# - Raw formation energy: 0.249 eV/atom
data_TlSb2TePt
_space_group_name_H-M_alt 'P 1'
_space_group_IT_number 1
_space_group_name_Hall 'P 1'
_cell_length_a 5.182
_cell_length_b 5.182
_cell_length_c 5.584
_cell_angle_alpha 90.00
_cell_angle_beta 90.00
_cell_angle_gamma 90.00
loop_
_atom_site_label
_atom_site_fract_x
_atom_site_fract_y
_atom_site_fract_z
Tl1 0.000 0.000 0.000
Sb1 0.000 0.500 0.500
Sb2 0.500 0.000 0.500
Te1 0.500 0.500 0.000
Pt1 0.500 0.500 0.500